Here is NaMg2Cd after structural relaxation from Alexandria. Energies are from PBE-GGA.

a b c (Å): 7.124 7.124 7.124
angles (deg): 154.89 134.81 52.39
Fractional positions:
Na (0.000, 0.000, 0.000)
Mg (0.271, 0.271, 0.000)
Mg (0.729, 0.729, 0.000)
Cd (0.500, 0.500, 0.000)

Properties
**Crystal system**: orthorhombic
**E_form**: 0.111 eV/atom
**VASP energy**: -1.24 eV/atom